Here is an optimized crystal structure of LaZr2Sc from Alexandria. Energies are from GGA-PBE.

Cell and atoms, written as POSCAR:
```
LaZr2Sc
1.0
-1.524 -4.099 1.651
4.409 -1.327 0.774
-0.212 1.831 4.351
Zr La Sc
2 1 1
direct
0.000 0.000 0.000
0.500 0.500 0.000
0.500 0.000 0.500
0.000 0.500 0.500
```

Output
D(E_F)	3.82	states/eV/cell
total moment	0.0	μB/f.u.
calculated formation energy	0.128	eV/atom